No. 1
Cr3N2 | PBEsol | relaxed

extended XYZ file:
```
15
Lattice="6.608 -1.345 0.000 6.608 1.345 0.000 -1.535 0.000 7.328" Properties=species:S:1:pos:R:3 pbc="T T T"
Cr 0.000 0.000 0.000
Cr -0.468 0.000 4.839
Cr 3.375 0.000 2.864
Cr 4.312 0.000 0.351
Cr 3.798 0.000 5.387
Cr 7.882 0.000 1.941
Cr 7.368 0.000 6.977
Cr 8.305 0.000 4.464
Cr 12.148 0.000 2.489
N 0.793 0.000 3.393
N 2.541 0.000 1.111
N 6.008 0.000 1.257
N 5.672 0.000 6.071
N 9.139 0.000 6.217
N 10.887 0.000 3.935
```

Calculated values
Magnetization in μB/f.u.: 0.00
Energy relative to the lowest polymorph listed for this composition in kJ/mol of formula units: 17

---

No. 2
Cr3N2 | PBEsol | relaxed

extended XYZ file:
```
5
Lattice="2.771 0.000 0.000 -1.385 2.400 0.000 0.000 0.000 6.691" Properties=species:S:1:pos:R:3 pbc="T T T"
Cr 0.000 0.000 0.000
Cr 0.000 1.600 4.363
Cr 1.385 0.800 2.328
N 0.000 1.600 1.235
N 1.385 0.800 5.456
```

Calculated values
Magnetization in μB/f.u.: 2.51
Energy relative to the lowest polymorph listed for this composition in kJ/mol of formula units: 59

---

No. 3
Cr3N2 | PBEsol | relaxed

extended XYZ file:
```
10
Lattice="2.329 1.345 4.698 -2.329 1.345 4.698 0.000 -2.689 4.698" Properties=species:S:1:pos:R:3 pbc="T T T"
Cr -1.574 -0.038 5.873
Cr -0.755 -1.382 8.222
Cr 0.820 -1.345 5.873
Cr -0.820 1.345 8.222
Cr 0.755 1.382 5.873
Cr 1.574 0.038 8.222
N 0.000 0.000 2.245
N 0.000 0.000 4.802
N 0.000 0.000 9.292
N 0.000 0.000 11.850
```

Calculated values
Magnetization in μB/f.u.: 0.00
Energy relative to the lowest polymorph listed for this composition in kJ/mol of formula units: 0

---

No. 4
NaCrN2 | PBEsol | relaxed

extended XYZ file:
```
8
Lattice="-2.524 2.524 4.136 2.524 -2.524 4.136 2.524 2.524 -4.136" Properties=species:S:1:pos:R:3 pbc="T T T"
Na 0.000 0.000 0.000
Na 0.000 2.524 2.068
Cr 2.524 0.000 2.068
Cr 0.000 0.000 4.136
N 1.262 1.887 -1.034
N 3.160 1.262 1.034
N 1.262 0.636 3.102
N -0.636 1.262 5.170
```

Calculated values
Magnetization in μB/f.u.: 0.05
E in eV/atom: -7.657

---

No. 5
NaCrN3 | PBEsol | relaxed

extended XYZ file:
```
5
Lattice="3.906 0.000 0.000 0.000 3.906 0.000 0.000 0.000 3.906" Properties=species:S:1:pos:R:3 pbc="T T T"
Na 0.000 0.000 0.000
Cr 1.953 1.953 1.953
N 0.000 0.000 1.953
N 0.000 1.953 0.000
N 1.953 0.000 0.000
```

Calculated values
Magnetization in μB/f.u.: 3.63
E in eV/atom: -4.664

---

No. 6
Na2CrSiN | PBEsol | relaxed

extended XYZ file:
```
5
Lattice="5.838 0.000 0.000 0.000 5.838 0.000 0.000 0.000 3.380" Properties=species:S:1:pos:R:3 pbc="T T T"
Na 0.000 2.919 0.000
Na 2.919 0.000 0.000
Cr 0.000 0.000 1.690
Si 2.919 2.919 0.000
N 2.919 2.919 1.690
```

Calculated values
Magnetization in μB/f.u.: 4.91
E in eV/atom: -4.641

---

No. 7
NaZr2CrN | PBEsol | relaxed

extended XYZ file:
```
5
Lattice="4.610 0.000 0.000 0.000 4.610 0.000 0.000 0.000 4.801" Properties=species:S:1:pos:R:3 pbc="T T T"
Na 0.000 0.000 0.000
Zr 0.000 2.305 2.401
Zr 2.305 0.000 2.401
Cr 0.000 0.000 2.401
N 2.305 2.305 0.000
```

Calculated values
Magnetization in μB/f.u.: 0.97
E in eV/atom: -5.947

---

No. 8
Nb3Cr3N | PBEsol | relaxed

extended XYZ file:
```
28
Lattice="0.000 5.693 5.693 5.693 0.000 5.693 5.693 5.693 0.000" Properties=species:S:1:pos:R:3 pbc="T T T"
Nb 4.269 4.269 0.778
Nb 4.269 0.778 4.269
Nb 7.761 4.269 4.269
Nb 7.116 7.116 3.625
Nb 7.116 3.625 7.116
Nb 10.607 7.116 7.116
Nb 0.778 4.269 4.269
Nb 4.269 7.761 4.269
Nb 4.269 4.269 7.761
Nb 3.625 7.116 7.116
Nb 7.116 10.607 7.116
Nb 7.116 7.116 10.607
Cr 5.693 2.846 2.846
Cr 3.382 3.382 3.382
Cr 5.157 5.157 3.382
Cr 5.157 3.382 5.157
Cr 8.003 6.229 6.229
Cr 2.846 5.693 2.846
Cr 2.846 2.846 5.693
Cr 5.693 5.693 5.693
Cr 3.382 5.157 5.157
Cr 6.229 8.003 6.229
Cr 6.229 6.229 8.003
Cr 8.003 8.003 8.003
N 0.000 0.000 0.000
N 2.846 2.846 0.000
N 2.846 0.000 2.846
N 0.000 2.846 2.846
```

Calculated values
Magnetization in μB/f.u.: 0.00
E in eV/atom: -10.679

---

No. 9
Nb2CrN | PBEsol | relaxed

extended XYZ file:
```
4
Lattice="0.000 2.961 2.961 2.961 0.000 2.961 2.961 2.961 0.000" Properties=species:S:1:pos:R:3 pbc="T T T"
Nb 1.480 1.480 1.480
Nb 4.441 4.441 4.441
Cr 0.000 0.000 0.000
N 2.961 2.961 2.961
```

Calculated values
Magnetization in μB/f.u.: 0.00
E in eV/atom: -9.399

---

No. 10
NbCrN | PBEsol | relaxed

extended XYZ file:
```
6
Lattice="3.015 0.000 0.000 0.000 3.015 0.000 0.000 0.000 7.294" Properties=species:S:1:pos:R:3 pbc="T T T"
Nb 0.754 0.754 1.286
Nb 2.261 2.261 6.008
Cr 0.754 0.754 4.268
Cr 2.261 2.261 3.027
N 0.754 0.754 6.272
N 2.261 2.261 1.022
```

Calculated values
Magnetization in μB/f.u.: 0.00
E in eV/atom: -10.701

---

No. 11
NbCrTe2N | PBEsol | relaxed

extended XYZ file:
```
5
Lattice="5.491 0.000 0.000 0.000 5.491 0.000 0.000 0.000 3.860" Properties=species:S:1:pos:R:3 pbc="T T T"
Nb 0.000 0.000 0.000
Cr 2.745 2.745 1.930
Te 0.000 2.745 0.000
Te 2.745 0.000 0.000
N 0.000 0.000 1.930
```

Calculated values
Magnetization in μB/f.u.: 4.16
E in eV/atom: -6.919

---

No. 12
CrNiN2 | PBEsol | relaxed

extended XYZ file:
```
8
Lattice="-2.138 2.138 4.284 2.138 -2.138 4.284 2.138 2.138 -4.284" Properties=species:S:1:pos:R:3 pbc="T T T"
Cr 0.000 0.000 0.000
Cr 0.000 2.138 2.142
Ni 2.138 0.000 2.142
Ni 0.000 0.000 4.284
N 3.207 0.977 -1.071
N 0.977 1.069 1.071
N -1.069 1.161 3.213
N 1.161 1.069 5.354
```

Calculated values
Magnetization in μB/f.u.: 0.08
E in eV/atom: -8.685

---

No. 13
CrNi2RhN | PBEsol | relaxed

extended XYZ file:
```
5
Lattice="4.260 0.000 0.000 0.000 4.260 0.000 0.000 0.000 3.459" Properties=species:S:1:pos:R:3 pbc="T T T"
Cr 0.000 0.000 0.000
Ni 0.000 2.130 0.000
Ni 2.130 0.000 0.000
Rh 2.130 2.130 1.730
N 0.000 0.000 1.730
```

Calculated values
Magnetization in μB/f.u.: 0.00
E in eV/atom: -6.858

---

No. 14
CrNiSe2N | PBEsol | relaxed

extended XYZ file:
```
5
Lattice="4.848 0.000 0.000 0.000 4.848 0.000 0.000 0.000 3.366" Properties=species:S:1:pos:R:3 pbc="T T T"
Cr 0.000 0.000 0.000
Ni 2.424 2.424 1.683
Se 0.000 2.424 1.683
Se 2.424 0.000 1.683
N 2.424 2.424 0.000
```

Calculated values
Magnetization in μB/f.u.: 3.66
Energy relative to the lowest polymorph listed for this composition in kJ/mol of formula units: 41